--- one ---
{
  "formula": "CuOsRh3",
  "functional": "PBE",
  "state": "relaxed",
  "dos_at_fermi_per_ev_cell": 10.688,
  "lattice": [[1.353, -6.849, 0.000], [1.353, 6.849, 0.000], [0.000, 0.000, 8.539]],
  "species": ["Cu", "Cu", "Os", "Os", "Rh", "Rh", "Rh", "Rh", "Rh", "Rh"],
  "frac_coords": [[0.000, 0.000, 0.000], [0.000, 0.000, 0.500], [0.236, 0.764, 0.750], [0.764, 0.236, 0.250], [0.105, 0.895, 0.250], [0.339, 0.661, 0.019], [0.339, 0.661, 0.481], [0.661, 0.339, 0.519], [0.661, 0.339, 0.981], [0.895, 0.105, 0.750]]
}



--- two ---
{
  "formula": "CuOsRh3",
  "functional": "PBE",
  "state": "relaxed",
  "dos_at_fermi_per_ev_cell": 3.689,
  "lattice": [[4.692, 0.000, 0.000], [0.000, 4.692, 0.000], [0.000, 0.000, 4.692]],
  "species": ["Cu", "Os", "Rh", "Rh", "Rh"],
  "frac_coords": [[0.000, 0.000, 0.000], [0.500, 0.500, 0.500], [0.000, 0.500, 0.500], [0.500, 0.000, 0.500], [0.500, 0.500, 0.000]]
}



Short version: two is the least stable of them.



--- one ---
{
  "formula": "CuOsRh4",
  "functional": "PBE",
  "state": "relaxed",
  "dos_at_fermi_per_ev_cell": 8.778,
  "lattice": [[0.000, 3.563, 3.563], [3.563, 0.000, 3.563], [3.563, 3.563, 0.000]],
  "species": ["Cu", "Os", "Rh", "Rh", "Rh", "Rh"],
  "frac_coords": [[0.000, 0.000, 0.000], [0.750, 0.750, 0.750], [0.375, 0.375, 0.375], [0.375, 0.375, 0.876], [0.375, 0.876, 0.375], [0.876, 0.375, 0.375]]
}



--- two ---
{
  "formula": "CuOsRh4",
  "functional": "PBE",
  "state": "relaxed",
  "dos_at_fermi_per_ev_cell": 7.450,
  "lattice": [[2.061, 1.190, 6.653], [-2.061, 1.190, 6.653], [0.000, -2.380, 6.653]],
  "species": ["Cu", "Os", "Rh", "Rh", "Rh", "Rh"],
  "frac_coords": [[0.000, 0.000, 0.000], [0.500, 0.500, 0.500], [0.124, 0.124, 0.124], [0.375, 0.375, 0.375], [0.625, 0.625, 0.625], [0.876, 0.876, 0.876]]
}



--- three ---
{
  "formula": "CuOsRh4",
  "functional": "PBE",
  "state": "relaxed",
  "dos_at_fermi_per_ev_cell": 10.544,
  "lattice": [[2.709, 0.000, 0.000], [0.000, 3.836, 0.000], [0.000, 0.000, 8.074]],
  "species": ["Cu", "Os", "Rh", "Rh", "Rh", "Rh"],
  "frac_coords": [[0.000, 0.000, 0.000], [0.500, 0.500, 0.500], [0.000, 0.000, 0.335], [0.000, 0.000, 0.665], [0.500, 0.500, 0.164], [0.500, 0.500, 0.836]]
}



Short version: one is the least stable of them.



--- one ---
{
  "formula": "CuOsRu",
  "functional": "PBE",
  "state": "relaxed",
  "dos_at_fermi_per_ev_cell": 10.063,
  "lattice": [[8.017, 0.000, 0.000], [0.000, 4.622, 0.000], [-2.748, 0.000, 4.356]],
  "species": ["Cu", "Cu", "Cu", "Cu", "Os", "Os", "Os", "Os", "Ru", "Ru", "Ru", "Ru"],
  "frac_coords": [[0.000, 0.083, 0.000], [0.000, 0.917, 0.500], [0.500, 0.417, 0.500], [0.500, 0.583, 0.000], [0.333, 0.085, 0.001], [0.333, 0.915, 0.501], [0.833, 0.415, 0.501], [0.833, 0.585, 0.001], [0.166, 0.417, 0.498], [0.166, 0.583, 0.998], [0.666, 0.083, 0.998], [0.666, 0.917, 0.498]]
}



--- two ---
{
  "formula": "CuOsRu",
  "functional": "PBE",
  "state": "relaxed",
  "dos_at_fermi_per_ev_cell": 15.461,
  "lattice": [[5.792, 0.000, 0.000], [0.000, 5.792, 0.000], [0.000, 0.000, 5.792]],
  "species": ["Cu", "Cu", "Cu", "Cu", "Os", "Os", "Os", "Os", "Ru", "Ru", "Ru", "Ru"],
  "frac_coords": [[0.000, 0.000, 0.000], [0.000, 0.500, 0.500], [0.500, 0.000, 0.500], [0.500, 0.500, 0.000], [0.250, 0.250, 0.250], [0.250, 0.750, 0.750], [0.750, 0.250, 0.750], [0.750, 0.750, 0.250], [0.000, 0.000, 0.500], [0.000, 0.500, 0.000], [0.500, 0.000, 0.000], [0.500, 0.500, 0.500]]
}



Short version: two is the least stable of them.



--- one ---
{
  "formula": "CuOsRu",
  "functional": "PBE",
  "state": "relaxed",
  "dos_at_fermi_per_ev_cell": 13.079,
  "lattice": [[8.575, 0.000, 0.000], [0.000, 3.779, 0.000], [-1.464, 0.000, 5.062]],
  "species": ["Cu", "Cu", "Cu", "Cu", "Os", "Os", "Os", "Os", "Ru", "Ru", "Ru", "Ru"],
  "frac_coords": [[0.177, 0.000, 0.073], [0.323, 0.500, 0.927], [0.677, 0.500, 0.073], [0.823, 0.000, 0.927], [0.162, 0.000, 0.562], [0.338, 0.500, 0.438], [0.662, 0.500, 0.562], [0.838, 0.000, 0.438], [0.012, 0.500, 0.246], [0.488, 0.000, 0.754], [0.512, 0.000, 0.246], [0.988, 0.500, 0.754]]
}



--- two ---
{
  "formula": "CuOsRu",
  "functional": "PBE",
  "state": "relaxed",
  "dos_at_fermi_per_ev_cell": 8.299,
  "lattice": [[4.609, 0.000, 0.000], [0.000, 7.970, 0.000], [-1.334, 0.000, 4.410]],
  "species": ["Cu", "Cu", "Cu", "Cu", "Os", "Os", "Os", "Os", "Ru", "Ru", "Ru", "Ru"],
  "frac_coords": [[0.000, 0.248, 0.250], [0.000, 0.752, 0.750], [0.500, 0.252, 0.750], [0.500, 0.748, 0.250], [0.000, 0.423, 0.750], [0.000, 0.577, 0.250], [0.500, 0.077, 0.250], [0.500, 0.923, 0.750], [0.000, 0.081, 0.750], [0.000, 0.919, 0.250], [0.500, 0.419, 0.250], [0.500, 0.581, 0.750]]
}



Short version: one is the least stable of them.



--- one ---
{
  "formula": "CuOsRu",
  "functional": "PBE",
  "state": "relaxed",
  "dos_at_fermi_per_ev_cell": 4.586,
  "lattice": [[4.619, 0.000, 0.000], [2.307, 4.008, 0.000], [2.251, 1.230, 4.360]],
  "species": ["Cu", "Cu", "Os", "Os", "Ru", "Ru"],
  "frac_coords": [[0.083, 0.251, 0.247], [0.917, 0.749, 0.753], [0.414, 0.585, 0.250], [0.586, 0.415, 0.750], [0.248, 0.086, 0.748], [0.752, 0.914, 0.252]]
}



--- two ---
{
  "formula": "CuOsRu",
  "functional": "PBE",
  "state": "relaxed",
  "dos_at_fermi_per_ev_cell": 18.251,
  "lattice": [[2.776, 0.000, 0.000], [0.000, 4.505, 0.000], [0.000, 0.000, 13.484]],
  "species": ["Cu", "Cu", "Cu", "Cu", "Os", "Os", "Os", "Os", "Ru", "Ru", "Ru", "Ru"],
  "frac_coords": [[0.000, 0.000, 0.000], [0.000, 0.500, 0.500], [0.500, 0.000, 0.500], [0.500, 0.500, 0.000], [0.000, 0.000, 0.332], [0.000, 0.500, 0.832], [0.500, 0.000, 0.832], [0.500, 0.500, 0.332], [0.000, 0.000, 0.668], [0.000, 0.500, 0.168], [0.500, 0.000, 0.168], [0.500, 0.500, 0.668]]
}



--- three ---
{
  "formula": "CuOsRu",
  "functional": "PBE",
  "state": "relaxed",
  "dos_at_fermi_per_ev_cell": 11.870,
  "lattice": [[4.401, 0.000, 0.000], [0.000, 7.934, 0.000], [0.000, 0.000, 4.624]],
  "species": ["Cu", "Cu", "Cu", "Cu", "Os", "Os", "Os", "Os", "Ru", "Ru", "Ru", "Ru"],
  "frac_coords": [[0.000, 0.000, 0.000], [0.000, 0.500, 0.500], [0.500, 0.000, 0.344], [0.500, 0.500, 0.844], [0.000, 0.164, 0.499], [0.000, 0.336, 0.999], [0.000, 0.664, 0.999], [0.000, 0.836, 0.499], [0.500, 0.164, 0.843], [0.500, 0.336, 0.343], [0.500, 0.664, 0.343], [0.500, 0.836, 0.843]]
}



--- four ---
{
  "formula": "CuOsRu",
  "functional": "PBE",
  "state": "relaxed",
  "dos_at_fermi_per_ev_cell": 4.020,
  "lattice": [[2.710, 0.000, 0.000], [-1.355, 2.347, 0.000], [0.000, 0.000, 6.502]],
  "species": ["Cu", "Os", "Ru"],
  "frac_coords": [[0.000, 0.000, 0.000], [0.667, 0.333, 0.339], [0.333, 0.667, 0.660]]
}



Short version: two is the least stable of them.